The following is a DFT calculation (GGA+U) of BaEu2NiO5 after structural relaxation.

Output
As for the symmetry: Immm. The total energy comes out at -70.70 eV for the cell shown. The total magnetic moment comes out at 14.00 μB per cell.

The structure in extended XYZ format:
```
9
Lattice="-2.231 -5.839 2.644 -0.012 -5.468 -4.021 3.659 4.869 2.994" Properties=species:S:1:pos:R:3 pbc="T T T"
Eu -1.784 -8.991 -1.094
O 2.483 1.060 1.036
O -1.067 -7.498 0.582
Eu -0.459 -2.316 -0.282
Ba 0.714 -0.485 2.819
O 0.000 0.000 0.000
Ni 1.824 -0.299 -0.513
O 1.851 -2.125 0.648
O -0.435 -4.313 0.970
```